No. 1
## Pr2NdSm9 (GGA-PBE)

Data for an optimized crystal structure of Pr2NdSm9.

Results
Formation enthalpy at 0 K   0.016 eV per atom
Magnetic moment   0.000 μB per cell
Fermi-level density of states   19.50 states/eV per cell
SG   P4/mmm
Calculated volume   410.83 Å³/cell
ΔE to the lowest computed polymorph   0.0 meV/atom

Cell: 5.154 5.154 15.465 Å, 90.00 90.00 90.00°
Fractional positions:
1 Pr 0.000 0.000 0.167
2 Pr 0.000 0.000 0.833
3 Nd 0.000 0.000 0.500
4 Sm 0.000 0.500 0.000
5 Sm 0.000 0.500 0.334
6 Sm 0.000 0.500 0.666
7 Sm 0.500 0.000 0.000
8 Sm 0.500 0.000 0.334
9 Sm 0.500 0.000 0.666
10 Sm 0.500 0.500 0.167
11 Sm 0.500 0.500 0.500
12 Sm 0.500 0.500 0.833

=====

No. 2
## SrMgTa2 (GGA-PBE)

Data for an optimized crystal structure of SrMgTa2.

Results
Formation enthalpy at 0 K   0.885 eV per atom
Magnetic moment   0.000 μB per cell
Fermi-level density of states   4.58 states/eV per cell
SG   Cmmm
Calculated volume   90.09 Å³/cell

Cell: 6.059 6.059 2.864 Å, 90.00 90.00 121.04°
Fractional positions:
1 Sr 0.000 0.000 0.000
2 Mg 0.500 0.500 0.000
3 Ta 0.000 0.500 0.500
4 Ta 0.500 0.000 0.500

=====

No. 3
## MgCd5In2 (GGA-PBE)

Data for an optimized crystal structure of MgCd5In2.

Results
Formation enthalpy at 0 K   0.242 eV per atom
Magnetic moment   0.000 μB per cell
Fermi-level density of states   2.81 states/eV per cell
SG   P4/mmm
Calculated volume   238.28 Å³/cell
ΔE to the lowest computed polymorph   252.9 meV/atom

Cell: 6.756 6.756 5.221 Å, 90.00 90.00 90.00°
Fractional positions:
1 Mg 0.000 0.000 0.000
2 Cd 0.000 0.000 0.500
3 Cd 0.289 0.289 0.000
4 Cd 0.289 0.711 0.000
5 Cd 0.711 0.289 0.000
6 Cd 0.711 0.711 0.000
7 In 0.000 0.500 0.500
8 In 0.500 0.000 0.500

=====

No. 4
## Ti2AlAgH (GGA-PBE)

Data for an optimized crystal structure of Ti2AlAgH.

Results
Magnetic moment   0.000 μB per cell
Fermi-level density of states   4.74 states/eV per cell
SG   P4/mmm
Calculated volume   67.80 Å³/cell
ΔE to the lowest computed polymorph   46.6 meV/atom

Cell: 3.902 3.902 4.452 Å, 90.00 90.00 90.00°
Fractional positions:
1 Ti 0.000 0.500 0.000
2 Ti 0.500 0.000 0.000
3 Al 0.000 0.000 0.500
4 Ag 0.500 0.500 0.500
5 H 0.000 0.000 0.000

=====

No. 5
## Cu3TePd (GGA-PBE)

Data for an optimized crystal structure of Cu3TePd.

Results
Energy relative to the elements, uncorrected   66.6 kJ/mol of atoms
Magnetic moment   0.000 μB per cell
Fermi-level density of states   2.48 states/eV per cell
SG   Pm-3m
Calculated volume   102.07 Å³/cell
ΔE to the lowest computed polymorph   0.0 meV/atom

Cell: 4.673 4.673 4.673 Å, 90.00 90.00 90.00°
Fractional positions:
1 Cu 0.000 0.000 0.500
2 Cu 0.000 0.500 0.000
3 Cu 0.500 0.000 0.000
4 Te 0.500 0.500 0.500
5 Pd 0.000 0.000 0.000

=====

No. 6
## DyHfIrOs (GGA-PBE)

Data for an optimized crystal structure of DyHfIrOs.

Results
Formation enthalpy at 0 K   -0.612 eV per atom
Magnetic moment   0.000 μB per cell
Fermi-level density of states   1.28 states/eV per cell
SG   F-43m
Calculated volume   74.13 Å³/cell

Cell: 4.715 4.715 4.715 Å, 60.00 60.00 60.00°
Fractional positions:
1 Dy 0.000 0.000 0.000
2 Hf 0.500 0.500 0.500
3 Ir 0.250 0.250 0.250
4 Os 0.750 0.750 0.750

=====

No. 7
## Ca2USi3Pt4 (GGA-PBE)

Data for an optimized crystal structure of Ca2USi3Pt4.

Results
Energy relative to the elements, uncorrected   -78.1 kJ/mol of atoms
Magnetic moment   2.499 μB per cell
Fermi-level density of states   10.73 states/eV per cell
SG   P-4m2
Calculated volume   196.69 Å³/cell

Cell: 4.268 4.268 10.799 Å, 90.00 90.00 90.00°
Fractional positions:
1 Ca 0.000 0.500 0.228
2 Ca 0.500 0.000 0.772
3 U 0.000 0.000 0.500
4 Si 0.000 0.500 0.884
5 Si 0.500 0.000 0.116
6 Si 0.500 0.500 0.500
7 Pt 0.000 0.000 0.000
8 Pt 0.000 0.500 0.665
9 Pt 0.500 0.000 0.335
10 Pt 0.500 0.500 0.000

=====

No. 8
## CdPd2Pb2 (GGA-PBE)

Data for an optimized crystal structure of CdPd2Pb2.

Results
Formation enthalpy at 0 K   -0.204 eV per atom
Magnetic moment   0.000 μB per cell
Fermi-level density of states   2.56 states/eV per cell
SG   C2/m
Calculated volume   110.76 Å³/cell
ΔE to the lowest computed polymorph   10.7 meV/atom

Cell: 5.594 5.594 4.356 Å, 112.21 112.21 65.40°
Fractional positions:
1 Cd 0.000 0.000 0.000
2 Pd 0.270 0.730 0.500
3 Pd 0.730 0.270 0.500
4 Pb 0.301 0.301 0.796
5 Pb 0.699 0.699 0.204

=====

Question: The lowest Fermi-level density of states belongs to which entry?
Answer: DyHfIrOs

=====

Question: The lowest calculated volume belongs to which entry?
Answer: Ti2AlAgH

=====

Question: What is the calculated volume in the fifth record?
Answer: 102.07 Å³/cell